Arrangement i

SrEu2Fe2O7: relaxed, PBE+U.

Calculated values
* D(E_F): 41.4 states/eV/cell
* density: 6.59 g cm⁻³
* magnetic moment: 6.31 μB/cell

Unit cell a=10.3969 b=10.3969 c=5.5081 alpha=90.00 beta=90.00 gamma=148.62
Closest atoms and distances in Å follow each position.
Sites, in units of the cell vectors:
1 Eu 0.5887 0.9549 0.7500  4 O 2.31-2.48
2 Fe 0.3537 0.1556 0.7500  6 O 1.97-2.13
3 Fe 0.8444 0.6463 0.2500  6 O 1.97-2.13
4 O 0.9879 0.3958 0.7500  1 Fe 2.13, 1 Eu 2.31
5 Fe 0.1556 0.3537 0.7500  6 O 1.97-2.13
6 O 0.6042 0.0121 0.2500  1 Fe 2.13, 1 Eu 2.31
7 O 0.9058 0.0942 0.0000  2 Fe 1.99
8 O 0.6143 0.3857 0.5000  2 Fe 1.97
9 O 0.3857 0.6143 0.5000  2 Fe 1.97
10 O 0.9058 0.0942 0.5000  2 Fe 1.99
11 O 0.6143 0.3857 0.0000  2 Fe 1.97
12 Sr 0.2434 0.2434 0.2500  7 O 2.58-2.77
13 O 0.3958 0.9879 0.7500  1 Fe 2.13, 1 Eu 2.31
14 O 0.0942 0.9058 0.5000  2 Fe 1.99
15 Eu 0.0451 0.4113 0.2500  4 O 2.31-2.48
16 Eu 0.9549 0.5887 0.7500  4 O 2.31-2.48
17 O 0.7016 0.7016 0.2500  2 Fe 2.00
18 O 0.0942 0.9058 0.0000  2 Fe 1.99
19 Sr 0.7566 0.7566 0.7500  7 O 2.58-2.77
20 O 0.0121 0.6042 0.2500  1 Fe 2.13, 1 Eu 2.31
21 Fe 0.6463 0.8444 0.2500  6 O 1.97-2.13
22 O 0.3857 0.6143 0.0000  2 Fe 1.97
23 O 0.2984 0.2984 0.7500  2 Fe 2.00
24 Eu 0.4113 0.0451 0.2500  4 O 2.31-2.48



Arrangement ii

SrEu2Fe2O7: relaxed, PBE+U.

Calculated values
* D(E_F): 76.6 states/eV/cell
* density: 6.59 g cm⁻³
* magnetic moment: 88.00 μB/cell

Unit cell a=5.5700 b=5.5700 c=19.9900 alpha=90.00 beta=90.00 gamma=90.00
Closest atoms and distances in Å follow each position.
Sites, in units of the cell vectors:
1 O 0.2054 0.7946 0.7962  1 Fe 2.14, 1 Eu 2.31
2 O 0.2946 0.2946 0.7038  1 Fe 2.14, 1 Eu 2.31
3 Eu 0.7689 0.7689 0.8164  6 O 2.31-2.54
4 O 0.7860 0.7860 0.5000  2 Fe 1.99
5 O 0.5000 0.0000 0.1040  2 Fe 1.97
6 O 0.5000 0.5000 0.4101  2 Fe 2.01
7 O 0.5000 0.5000 0.5899  2 Fe 2.01
8 O 0.7054 0.7054 0.7038  1 Fe 2.14, 1 Eu 2.31
9 O 0.0000 0.0000 0.3806  2 Fe 1.98
10 O 0.7946 0.2054 0.7962  1 Fe 2.14, 1 Eu 2.31
11 Eu 0.7311 0.2689 0.3164  6 O 2.31-2.54
12 O 0.2140 0.2140 0.5000  2 Fe 1.99
13 Eu 0.2311 0.2311 0.8164  6 O 2.31-2.54
14 Sr 0.2456 0.2456 0.0000  8 O 2.62-2.86
15 Eu 0.2311 0.2311 0.1836  6 O 2.31-2.54
16 O 0.2946 0.2946 0.2962  1 Fe 2.14, 1 Eu 2.31
17 O 0.0000 0.5000 0.8960  2 Fe 1.97
18 Fe 0.2541 0.7459 0.0986  6 O 1.97-2.14
19 O 0.0000 0.0000 0.6194  2 Fe 1.98
20 Sr 0.7544 0.7544 0.0000  8 O 2.62-2.86
21 Fe 0.2541 0.7459 0.9014  6 O 1.97-2.14
22 O 0.0000 0.5000 0.3960  2 Fe 1.97
23 O 0.5000 0.5000 0.8806  2 Fe 1.98
24 O 0.5000 0.0000 0.8960  2 Fe 1.97
25 Fe 0.2459 0.2459 0.4014  6 O 1.97-2.14
26 Eu 0.7689 0.7689 0.1836  6 O 2.31-2.54
27 O 0.7054 0.7054 0.2962  1 Fe 2.14, 1 Eu 2.31
28 O 0.0000 0.0000 0.0899  2 Fe 2.01
29 Eu 0.7311 0.2689 0.6836  6 O 2.31-2.54
30 O 0.5000 0.5000 0.1194  2 Fe 1.98
31 O 0.2054 0.7946 0.2038  1 Fe 2.14, 1 Eu 2.31
32 Eu 0.2689 0.7311 0.6836  6 O 2.31-2.54
33 Fe 0.7459 0.2541 0.9014  6 O 1.97-2.14
34 O 0.0000 0.0000 0.9101  2 Fe 2.01
35 Fe 0.7541 0.7541 0.5986  6 O 1.97-2.14
36 O 0.0000 0.5000 0.1040  2 Fe 1.97
37 Sr 0.7456 0.2544 0.5000  8 O 2.62-2.86
38 Fe 0.7541 0.7541 0.4014  6 O 1.97-2.14
39 O 0.2860 0.7140 0.0000  2 Fe 1.99
40 Fe 0.2459 0.2459 0.5986  6 O 1.97-2.14
41 Sr 0.2544 0.7456 0.5000  8 O 2.62-2.86
42 Fe 0.7459 0.2541 0.0986  6 O 1.97-2.14
43 O 0.5000 0.0000 0.3960  2 Fe 1.97
44 O 0.0000 0.5000 0.6040  2 Fe 1.97
45 Eu 0.2689 0.7311 0.3164  6 O 2.31-2.54
46 O 0.5000 0.0000 0.6040  2 Fe 1.97
47 O 0.7140 0.2860 0.0000  2 Fe 1.99
48 O 0.7946 0.2054 0.2038  1 Fe 2.14, 1 Eu 2.31



How do the structures above rank in stability at the extremes? arrangement ii comes first and arrangement i comes last.